{"formula": "PuCuRu2", "functional": "PBE-GGA", "state": "relaxed", "space_group": "Fm-3m (225)", "dft_energy_ev_per_cell": -37.06, "delta_e_f_ev_per_atom": -0.02, "cell": [[0.0000, 3.1655, 3.1655], [3.1655, 0.0000, 3.1655], [3.1655, 3.1655, 0.0000]], "species": ["Pu", "Cu", "Ru", "Ru"], "frac_coords": [[0.0000, 0.0000, 0.0000], [0.5000, 0.5000, 0.5000], [0.2500, 0.2500, 0.2500], [0.7500, 0.7500, 0.7500]]}

{"formula": "Pu6CuRu5", "functional": "PBE-GGA", "state": "relaxed", "space_group": "C2/m (12)", "dft_energy_ev_per_cell": -137.73, "delta_e_f_ev_per_atom": -0.11, "cell": [[4.1096, -7.2700, 0.0000], [4.1096, 7.2700, 0.0000], [-2.8613, 0.0000, 3.9222]], "species": ["Pu", "Pu", "Pu", "Pu", "Pu", "Pu", "Cu", "Ru", "Ru", "Ru", "Ru", "Ru"], "frac_coords": [[0.0817, 0.4175, 0.7496], [0.2481, 0.2481, 0.2483], [0.4175, 0.0817, 0.7496], [0.5825, 0.9183, 0.2504], [0.7519, 0.7519, 0.7517], [0.9183, 0.5825, 0.2504], [0.5000, 0.5000, 0.0000], [0.0000, 0.0000, 0.5000], [0.1657, 0.8343, 0.0000], [0.3320, 0.6680, 0.5000], [0.6680, 0.3320, 0.5000], [0.8343, 0.1657, 0.0000]]}

{"formula": "Pu2Cu3Ru", "functional": "PBE-GGA", "state": "relaxed", "space_group": "R-3m (166)", "dft_energy_ev_per_cell": -50.92, "delta_e_f_ev_per_atom": -0.12, "cell": [[2.5366, 1.4645, 4.5275], [-2.5366, 1.4645, 4.5275], [0.0000, -2.9290, 4.5275]], "species": ["Pu", "Pu", "Cu", "Cu", "Cu", "Ru"], "frac_coords": [[0.1317, 0.1317, 0.1317], [0.8683, 0.8683, 0.8683], [0.0000, 0.5000, 0.5000], [0.5000, 0.0000, 0.5000], [0.5000, 0.5000, 0.0000], [0.5000, 0.5000, 0.5000]]}

{"formula": "PuCuRu2", "functional": "PBE-GGA", "state": "relaxed", "space_group": "P4/mmm (123)", "dft_energy_ev_per_cell": -37.09, "delta_e_f_ev_per_atom": -0.03, "cell": [[4.1494, 0.0000, 0.0000], [0.0000, 4.1494, 0.0000], [0.0000, 0.0000, 3.6810]], "species": ["Pu", "Cu", "Ru", "Ru"], "frac_coords": [[0.0000, 0.0000, 0.0000], [0.5000, 0.5000, 0.0000], [0.0000, 0.5000, 0.5000], [0.5000, 0.0000, 0.5000]]}

{"formula": "Pu2CuRu4", "functional": "PBE-GGA", "state": "relaxed", "space_group": "P-1 (2)", "dft_energy_ev_per_cell": -69.94, "delta_e_f_ev_per_atom": -0.01, "cell": [[4.7705, 0.0000, 0.0000], [-0.0132, 5.4774, 0.0000], [-1.7099, -2.7341, 4.5572]], "species": ["Pu", "Pu", "Cu", "Ru", "Ru", "Ru", "Ru"], "frac_coords": [[0.0027, 0.1584, 0.3169], [0.9973, 0.8416, 0.6831], [0.0000, 0.5000, 0.0000], [0.4598, 0.7371, 0.4745], [0.4999, 0.2557, 0.0008], [0.5001, 0.7443, 0.9992], [0.5402, 0.2629, 0.5255]]}

{"formula": "Pu4CuRu2", "functional": "PBE-GGA", "state": "relaxed", "space_group": "Ibam (72)", "dft_energy_ev_per_cell": -160.76, "delta_e_f_ev_per_atom": -0.06, "cell": [[-4.4218, 6.7906, 2.4879], [4.4218, -6.7906, 2.4879], [4.4218, 6.7906, -2.4879]], "species": ["Pu", "Pu", "Pu", "Pu", "Pu", "Pu", "Pu", "Pu", "Cu", "Cu", "Ru", "Ru", "Ru", "Ru"], "frac_coords": [[0.0622, 0.6909, 0.7531], [0.1950, 0.1195, 0.3146], [0.3050, 0.6195, 0.9245], [0.4378, 0.1909, 0.6287], [0.5622, 0.8091, 0.3713], [0.6950, 0.3805, 0.0755], [0.8050, 0.8805, 0.6854], [0.9378, 0.3091, 0.2469], [0.2500, 0.2500, 0.0000], [0.7500, 0.7500, 0.0000], [0.1616, 0.4016, 0.5632], [0.3384, 0.9016, 0.2400], [0.6616, 0.0984, 0.7600], [0.8384, 0.5984, 0.4368]]}

{"formula": "PuCuRu", "functional": "PBE-GGA", "state": "relaxed", "space_group": "Cmcm (63)", "dft_energy_ev_per_cell": -55.91, "delta_e_f_ev_per_atom": -0.08, "cell": [[2.1447, -4.8552, 0.0000], [2.1447, 4.8552, 0.0000], [0.0000, 0.0000, 5.0522]], "species": ["Pu", "Pu", "Cu", "Cu", "Ru", "Ru"], "frac_coords": [[0.1940, 0.8060, 0.7500], [0.8060, 0.1940, 0.2500], [0.5000, 0.5000, 0.0000], [0.5000, 0.5000, 0.5000], [0.1024, 0.8976, 0.2500], [0.8976, 0.1024, 0.7500]]}

{"formula": "PuCu4Ru", "functional": "PBE-GGA", "state": "relaxed", "space_group": "F-43m (216)", "dft_energy_ev_per_cell": -39.57, "delta_e_f_ev_per_atom": 0.07, "cell": [[0.0000, 3.5240, 3.5240], [3.5240, 0.0000, 3.5240], [3.5240, 3.5240, 0.0000]], "species": ["Pu", "Cu", "Cu", "Cu", "Cu", "Ru"], "frac_coords": [[0.0000, 0.0000, 0.0000], [0.1284, 0.6239, 0.6239], [0.6239, 0.1284, 0.6239], [0.6239, 0.6239, 0.1284], [0.6239, 0.6239, 0.6239], [0.2500, 0.2500, 0.2500]]}